This record from Alexandria via LeMat-Bulk describes an optimized crystal structure of BaAuCl2. The functional is PBE-GGA.

raw formation energy: -1.24 eV/atom
size of the total moment: 0.000 μB/atom
SG: Imm2, No. 44

Unit cell a=6.337 b=6.337 c=6.337 alpha=139.25 beta=138.94 gamma=59.23
Element x y z (fractional)
1 Cl 0.753 0.253 0.500
2 Cl 0.003 0.003 0.000
3 Ba 0.245 0.745 0.500
4 Au 0.499 0.499 0.000